DFT (GGA-PBE) results for a geometry-optimized K4NiOs structure.

Output
- Energy of formation: 1.595 eV per atom
- Density: 3.43 g/cm³
- DOS(E_F): 10.0 states/eV/f.u.
- Total moment: 9.729 μB per cell

Structure (CIF):
```
data_K4NiOs
_cell_length_a 9.2278
_cell_length_b 9.2278
_cell_length_c 9.2278
_cell_angle_alpha 90.00
_cell_angle_beta 90.00
_cell_angle_gamma 90.00
_space_group_name_H-M_alt 'F -4 3 m'
_space_group_IT_number 216
_space_group_name_Hall 'F -4 2 3'
loop_
_atom_site_label
_atom_site_fract_x
_atom_site_fract_y
_atom_site_fract_z
K1 0.1254 0.1254 0.1254
Ni1 0.2500 0.2500 0.7500
Os1 0.0000 0.0000 0.5000
```